1.
In4Bi2N: relaxed, PBE.

abc: 4.765 4.765 16.215
angles: 90.00 90.00 90.00
Space group I4/mmm (No. 139)
Inequivalent atoms, fractional coordinates:
1 In 0.000 0.000 0.155
2 In 0.000 0.500 0.000
3 Bi 0.000 0.000 0.358
4 N 0.000 0.000 0.000

Calculated values
Uncorrected formation energy in meV per atom: 254

2.
InBi2N: relaxed, PBE.

abc: 5.980 5.980 13.037
angles: 90.00 90.00 90.00
Space group I-42d (No. 122)
Inequivalent atoms, fractional coordinates:
1 In 0.000 0.000 0.000
2 Bi 0.156 0.250 0.625
3 N 0.000 0.000 0.500

Calculated values
Uncorrected formation energy in meV per atom: 617

3.
InBi2N: relaxed, PBE.

abc: 7.184 7.184 7.184
angles: 90.00 90.00 90.00
Space group Fm-3m (No. 225)
Inequivalent atoms, fractional coordinates:
1 In 0.000 0.000 0.000
2 Bi 0.250 0.250 0.250
3 N 0.000 0.000 0.500

Calculated values
Uncorrected formation energy in meV per atom: 1088

4.
InBi2N2: relaxed, PBE.

abc: 3.222 6.180 16.510
angles: 90.00 95.42 90.00
Space group C2/m (No. 12)
Inequivalent atoms, fractional coordinates:
1 In 0.000 0.000 0.000
2 Bi 0.162 0.500 0.814
3 N 0.019 0.500 0.534

Calculated values
Uncorrected formation energy in meV per atom: 139

5.
InBiN2O: relaxed, PBE.

abc: 4.353 4.353 4.181
angles: 90.00 90.00 90.00
Space group P4/mmm (No. 123)
Inequivalent atoms, fractional coordinates:
1 In 0.000 0.000 0.000
2 Bi 0.500 0.500 0.500
3 N 0.000 0.500 0.500
4 O 0.500 0.500 0.000

Calculated values
Uncorrected formation energy in meV per atom: 984

6.
InBiN2O: relaxed, PBE.

abc: 4.220 4.220 4.200
angles: 90.00 90.00 90.00
Space group P4/mmm (No. 123)
Inequivalent atoms, fractional coordinates:
1 In 0.000 0.000 0.000
2 Bi 0.500 0.500 0.500
3 N 0.000 0.500 0.000
4 O 0.000 0.000 0.500

Calculated values
Uncorrected formation energy in meV per atom: 848

7.
InBiNO2: relaxed, PBE.

abc: 4.215 4.215 4.472
angles: 90.00 90.00 90.00
Space group P4/mmm (No. 123)
Inequivalent atoms, fractional coordinates:
1 In 0.000 0.000 0.000
2 Bi 0.500 0.500 0.500
3 N 0.500 0.500 0.000
4 O 0.000 0.500 0.500

Calculated values
Uncorrected formation energy in meV per atom: 125

8.
InBiNO2: relaxed, PBE.

abc: 4.144 4.144 4.237
angles: 90.00 90.00 90.00
Space group P4/mmm (No. 123)
Inequivalent atoms, fractional coordinates:
1 In 0.000 0.000 0.000
2 Bi 0.500 0.500 0.500
3 N 0.000 0.000 0.500
4 O 0.000 0.500 0.000

Calculated values
Uncorrected formation energy in meV per atom: -19

Q: Which of these has the lowest uncorrected formation energy?
A: number 8

Q: The highest uncorrected formation energy belongs to which entry?
A: number 3